# 1
Compound: TeIrNCl2
Source: Alexandria via LeMat-Bulk
Functional: PBE-GGA
Structure: relaxed

Summary:
The calculation puts the formation energy from raw total energies at 1.522 eV per atom.

abc: 5.5517 5.5517 3.8862
angles: 90.00 90.00 90.00
Last column: magnetic moment on the atom in μB.
Atoms (fractional coordinates):
Cl1 0.0000 0.5000 0.0000  0.04
Cl2 0.5000 0.0000 0.0000  0.04
Te1 0.0000 0.0000 0.0000  -0.01
Ir1 0.5000 0.5000 0.5000  1.90
N1 0.0000 0.0000 0.5000  0.00



# 2
Compound: Na5Cl2OF
Source: Alexandria via LeMat-Bulk
Functional: PBE-GGA
Structure: relaxed

Summary:
The calculation puts the formation energy from raw total energies at -1.662 eV per atom.

abc: 4.3111 6.4232 7.7243
angles: 114.57 106.20 90.00
Atoms (fractional coordinates):
Cl1 0.2176 0.2176 0.4353
Cl2 0.7824 0.7824 0.5647
O1 0.5000 0.0000 0.0000
Na1 0.3792 0.1239 0.7585
Na2 0.0000 0.0000 0.0000
Na3 0.6208 0.8761 0.2415
Na4 0.3792 0.6346 0.7585
Na5 0.6208 0.3654 0.2415
F1 0.0000 0.5000 0.0000



# 3
Compound: Nb5Re4Ni
Source: Alexandria via LeMat-Bulk
Functional: PBE-GGA
Structure: relaxed

Summary:
The raw total energy comes out at -0.398 Ha/atom.

abc: 3.2165 3.2165 15.6752
angles: 90.00 90.00 90.00
Atoms (fractional coordinates):
Nb1 0.5000 0.5000 0.5000
Nb2 0.5000 0.5000 0.7044
Nb3 0.5000 0.5000 0.2956
Nb4 0.5000 0.5000 0.9058
Nb5 0.5000 0.5000 0.0942
Ni1 0.0000 0.0000 0.0000
Re1 0.0000 0.0000 0.3978
Re2 0.0000 0.0000 0.6022
Re3 0.0000 0.0000 0.8076
Re4 0.0000 0.0000 0.1924



# 4
Compound: Tb3Sm2Tm2
Source: Alexandria via LeMat-Bulk
Functional: PBE-GGA
Structure: relaxed

Summary:
The distance to the lowest polymorph of the same formula is 0.711 eV/f.u.

abc: 3.4994 8.5098 8.9026
angles: 118.55 101.33 90.00
Atoms (fractional coordinates):
Tb1 0.7884 0.2021 0.5768
Tb2 0.2116 0.7979 0.4232
Tb3 0.0000 0.5000 0.0000
Tm1 0.1492 0.3317 0.2983
Tm2 0.8508 0.6683 0.7017
Sm1 0.4340 0.0879 0.8680
Sm2 0.5660 0.9121 0.1320



# 5
Compound: Bi2RhPb2
Source: Alexandria via LeMat-Bulk
Functional: PBE-GGA
Structure: relaxed

Summary:
The distance to the lowest polymorph of the same formula is 0.000 eV/f.u.

abc: 7.1931 7.2500 7.6654
angles: 74.05 56.35 60.26
Atoms (fractional coordinates):
Bi1 0.8776 0.0000 0.3606
Bi2 0.4048 0.0000 0.8502
Bi3 0.1224 0.0000 0.6394
Bi4 0.5952 0.0000 0.1498
Pb1 0.9877 0.4368 0.2379
Pb2 0.0123 0.5632 0.7621
Pb3 0.4245 0.5632 0.2379
Pb4 0.5755 0.4368 0.7621
Rh1 0.8845 0.2309 0.0000
Rh2 0.1155 0.7691 0.0000



# 6
Compound: Sr3Si
Source: Alexandria via LeMat-Bulk
Functional: PBE-GGA
Structure: relaxed

Summary:
The distance to the lowest polymorph of the same formula is 0.770 eV/f.u. The calculation puts the formation energy from raw total energies at 0.017 eV per atom.

abc: 4.2332 4.2332 11.4953
angles: 90.00 90.00 120.00
Atoms (fractional coordinates):
Sr1 0.0000 0.0000 0.5000
Sr2 0.6667 0.3333 0.1750
Sr3 0.6667 0.3333 0.8250
Si1 0.0000 0.0000 0.0000



# 7
Compound: Cs2SnSb2
Source: Alexandria via LeMat-Bulk
Functional: PBE-GGA
Structure: relaxed

Summary:
The calculation puts the formation energy from raw total energies at -0.202 eV per atom.

abc: 4.0306 7.7402 15.1967
angles: 90.00 90.00 105.09
Atoms (fractional coordinates):
Cs1 0.3125 0.6250 0.8442
Cs2 0.0644 0.1288 0.6368
Cs3 0.6875 0.3750 0.3442
Cs4 0.9356 0.8712 0.1368
Sb1 0.7898 0.5796 0.6149
Sb2 0.2102 0.4204 0.1149
Sb3 0.9616 0.9232 0.3906
Sb4 0.0384 0.0768 0.8906
Sn1 0.6298 0.2595 0.9987
Sn2 0.3702 0.7405 0.4987



# 8
Compound: GdHfZr2
Source: Alexandria via LeMat-Bulk
Functional: PBE-GGA
Structure: relaxed

Summary:
The distance to the lowest polymorph of the same formula is 0.000 eV/f.u.

abc: 3.7820 3.7820 7.0066
angles: 90.00 90.00 90.00
Last column: magnetic moment on the atom in μB.
Atoms (fractional coordinates):
Zr1 0.0000 0.0000 0.2107  0.01
Zr2 0.0000 0.0000 0.7893  0.01
Gd1 0.5000 0.5000 0.5000  7.13
Hf1 0.5000 0.5000 0.0000  -0.05



Number 1: spin magnetization 2.118 μB per formula unit. Number 2: spin magnetization 0.033 μB per formula unit. Number 3: spin magnetization 0.000 μB per formula unit. Number 4: spin magnetization 0.000 μB per formula unit. Number 5: spin magnetization 0.000 μB per formula unit. Number 6: spin magnetization 0.000 μB per formula unit. Number 7: spin magnetization 0.000 μB per formula unit. Number 8: spin magnetization 7.333 μB per formula unit.